[1]
First-principles (PBE) data for a relaxed MgScSN2 crystal, as listed in the Alexandria database. Values from VASP.

Results
magnetic moment: 0.00 μB/f.u.
offset from the most stable computed form: 5.11 eV/f.u.
space group: P4/mmm, No. 123
raw formation energy: 114.9 kJ per mole of atoms

```
&SYSTEM
  ibrav = 0, nat = 5, ntyp = 4
/
ATOMIC_SPECIES
Sc 44.96 Sc.upf
S 32.06 S.upf
Mg 24.30 Mg.upf
N 14.01 N.upf
ATOMIC_POSITIONS angstrom
Sc 1.642 -1.579 0.026
S 0.000 0.000 0.000
Mg 0.872 -2.335 2.766
N 0.560 0.614 1.909
N -1.330 -1.369 0.830
CELL_PARAMETERS angstrom
-2.661 -2.739 1.661
3.285 -3.159 0.053
1.119 1.228 3.818
```

[2]
First-principles (PBE) data for a relaxed MgScSN2 crystal, as listed in the Alexandria database. Values from VASP.

Results
magnetic moment: 1.03 μB/f.u.
offset from the most stable computed form: 1.09 eV/f.u.
space group: P4/mmm, No. 123
raw formation energy: 37.4 kJ per mole of atoms

```
&SYSTEM
  ibrav = 0, nat = 5, ntyp = 4
/
ATOMIC_SPECIES
Sc 44.96 Sc.upf
S 32.06 S.upf
Mg 24.30 Mg.upf
N 14.01 N.upf
ATOMIC_POSITIONS angstrom
Sc 2.830 -1.875 1.445
S 2.334 0.642 0.470
Mg 0.000 0.000 0.000
N 0.615 -1.673 -0.768
N -0.118 -0.844 1.743
CELL_PARAMETERS angstrom
-0.237 -1.688 3.487
1.229 -3.345 -1.536
4.668 1.284 0.939
```

[3]
First-principles (PBE) data for a relaxed MgScSN2 crystal, as listed in the Alexandria database. Values from VASP.

Results
magnetic moment: 0.85 μB/f.u.
offset from the most stable computed form: 0.00 eV/f.u.
space group: P4/mmm, No. 123
raw formation energy: 16.4 kJ per mole of atoms

```
&SYSTEM
  ibrav = 0, nat = 5, ntyp = 4
/
ATOMIC_SPECIES
Sc 44.96 Sc.upf
S 32.06 S.upf
Mg 24.30 Mg.upf
N 14.01 N.upf
ATOMIC_POSITIONS angstrom
Sc 0.000 0.000 0.000
S 0.200 -2.438 1.049
Mg 0.980 -3.465 -1.489
N 1.755 -0.265 -0.950
N -0.974 -0.763 -1.587
CELL_PARAMETERS angstrom
-1.949 -1.525 -3.175
3.509 -0.529 -1.900
0.400 -4.876 2.097
```

Question: The highest magnetic moment belongs to which entry?
Answer: number 2

Question: Number 3 is which compound?
Answer: MgScSN2

Copy entry 3 word for word.
First-principles (PBE) data for a relaxed MgScSN2 crystal, as listed in the Alexandria database. Values from VASP.

Results
magnetic moment: 0.85 μB/f.u.
offset from the most stable computed form: 0.00 eV/f.u.
space group: P4/mmm, No. 123
raw formation energy: 16.4 kJ per mole of atoms

```
&SYSTEM
  ibrav = 0, nat = 5, ntyp = 4
/
ATOMIC_SPECIES
Sc 44.96 Sc.upf
S 32.06 S.upf
Mg 24.30 Mg.upf
N 14.01 N.upf
ATOMIC_POSITIONS angstrom
Sc 0.000 0.000 0.000
S 0.200 -2.438 1.049
Mg 0.980 -3.465 -1.489
N 1.755 -0.265 -0.950
N -0.974 -0.763 -1.587
CELL_PARAMETERS angstrom
-1.949 -1.525 -3.175
3.509 -0.529 -1.900
0.400 -4.876 2.097
```